Record 1
Entry from Alexandria: an optimized crystal structure of Zr3P3Pd4 (PBEsol).

Summary:
* formation enthalpy at 0 K: -1.1356 eV/atom
* total magnetization: 0.00 μB per formula unit

a = 16.2717 Å, b = 3.8118 Å, c = 9.9164 Å
α = 90.00°, β = 90.00°, γ = 90.00°
Closest atoms and distances in Å follow each position.
Fractional coordinates of all 40 atoms:
Zr  0.0482  0.2500  0.1160  5 P 2.67-2.77, 5 Pd 2.91-2.95
Zr  0.0603  0.7500  0.5892  5 P 2.69-2.73, 5 Pd 2.94-3.01
Zr  0.2398  0.2500  0.9754  4 P 2.70-2.79, 6 Pd 2.89-3.01
Zr  0.2602  0.7500  0.4754  4 P 2.70-2.79, 6 Pd 2.89-3.01
Zr  0.4397  0.2500  0.0892  5 P 2.69-2.73, 5 Pd 2.94-3.01
Zr  0.4518  0.7500  0.6160  5 P 2.67-2.77, 5 Pd 2.91-2.95
Zr  0.5482  0.2500  0.3840  5 P 2.67-2.77, 5 Pd 2.91-2.95
Zr  0.5603  0.7500  0.9108  5 P 2.69-2.73, 5 Pd 2.94-3.01
Zr  0.7398  0.2500  0.5246  4 P 2.70-2.79, 6 Pd 2.89-3.01
Zr  0.7602  0.7500  0.0246  4 P 2.70-2.79, 6 Pd 2.89-3.01
Zr  0.9397  0.2500  0.4108  5 P 2.69-2.73, 5 Pd 2.94-3.01
Zr  0.9518  0.7500  0.8840  5 P 2.67-2.77, 5 Pd 2.91-2.95
P  0.0456  0.7500  0.3186  4 Pd 2.42-2.49, 1 Zr 2.69
P  0.1148  0.7500  0.9621  4 Pd 2.45-2.47, 2 Zr 2.67
P  0.1774  0.2500  0.6120  5 Pd 2.41-2.56, 2 Zr 2.70
P  0.3226  0.7500  0.1120  5 Pd 2.41-2.56, 2 Zr 2.70
P  0.3852  0.2500  0.4621  4 Pd 2.45-2.47, 2 Zr 2.67
P  0.4544  0.2500  0.8186  4 Pd 2.42-2.49, 1 Zr 2.69
P  0.5456  0.7500  0.1814  4 Pd 2.42-2.49, 1 Zr 2.69
P  0.6148  0.7500  0.5379  4 Pd 2.45-2.47, 2 Zr 2.67
P  0.6774  0.2500  0.8880  5 Pd 2.41-2.56, 2 Zr 2.70
P  0.8226  0.7500  0.3880  5 Pd 2.41-2.56, 2 Zr 2.70
P  0.8852  0.2500  0.0379  4 Pd 2.45-2.47, 2 Zr 2.67
P  0.9544  0.2500  0.6814  4 Pd 2.42-2.49, 1 Zr 2.69
Pd  0.0819  0.2500  0.8169  4 P 2.45-2.56
Pd  0.1284  0.2500  0.3826  3 P 2.41-2.42
Pd  0.1763  0.7500  0.1887  3 P 2.46-2.50
Pd  0.2067  0.7500  0.7633  3 P 2.47
Pd  0.2933  0.2500  0.2633  3 P 2.47
Pd  0.3237  0.2500  0.6887  3 P 2.46-2.50
Pd  0.3716  0.7500  0.8826  3 P 2.41-2.42
Pd  0.4181  0.7500  0.3169  4 P 2.45-2.56
Pd  0.5819  0.2500  0.6831  4 P 2.45-2.56
Pd  0.6284  0.2500  0.1174  3 P 2.41-2.42
Pd  0.6763  0.7500  0.3113  3 P 2.46-2.50
Pd  0.7067  0.7500  0.7367  3 P 2.47
Pd  0.7933  0.2500  0.2367  3 P 2.47
Pd  0.8237  0.2500  0.8113  3 P 2.46-2.50
Pd  0.8716  0.7500  0.6174  3 P 2.41-2.42
Pd  0.9181  0.7500  0.1831  4 P 2.45-2.56


Record 2
Entry from Alexandria: an optimized crystal structure of CoMoPt (PBEsol).

Summary:
* formation enthalpy at 0 K: -0.1868 eV/atom
* total magnetization: 0.00 μB per formula unit

a = 4.6428 Å, b = 4.6428 Å, c = 4.6428 Å
α = 146.56°, β = 133.06°, γ = 58.85°
Closest atoms and distances in Å follow each position.
Fractional coordinates of all 3 atoms:
Co  0.0000  0.0000  0.0000  5 Mo 2.59-2.81, 5 Pt 2.66-2.67, 2 Co 2.67
Mo  0.6520  0.6520  0.0000  5 Co 2.59-2.81, 5 Pt 2.61-2.69, 2 Mo 2.67
Pt  0.3294  0.3294  0.0000  5 Mo 2.61-2.69, 5 Co 2.66-2.67, 2 Pt 2.67


Record 3
Entry from Alexandria: an optimized crystal structure of Hf3PdPt (PBEsol).

Summary:
* formation enthalpy at 0 K: 0.3988 eV/atom
* total magnetization: 0.00 μB per formula unit

a = 4.9423 Å, b = 4.9423 Å, c = 4.9423 Å
α = 90.00°, β = 90.00°, γ = 90.00°
Closest atoms and distances in Å follow each position.
Fractional coordinates of all 5 atoms:
Hf  0.0000  0.0000  0.5000  2 Pt 2.47
Hf  0.0000  0.5000  0.0000  2 Pt 2.47
Hf  0.5000  0.0000  0.0000  2 Pt 2.47
Pd  0.5000  0.5000  0.5000  12 Hf 3.49
Pt  0.0000  0.0000  0.0000  6 Hf 2.47


Record 4
Entry from Alexandria: an optimized crystal structure of YTc2W (PBEsol).

Summary:
* formation enthalpy at 0 K: 0.0350 eV/atom
* total magnetization: 0.00 μB per formula unit

a = 3.1654 Å, b = 3.1654 Å, c = 6.7637 Å
α = 90.00°, β = 90.00°, γ = 90.00°
Closest atoms and distances in Å follow each position.
Fractional coordinates of all 4 atoms:
Y  0.0000  0.0000  0.0000  8 Tc 2.95, 4 Y 3.17
Tc  0.5000  0.5000  0.2834  4 W 2.68, 1 Tc 2.93, 4 Y 2.95
Tc  0.5000  0.5000  0.7166  4 W 2.68, 1 Tc 2.93, 4 Y 2.95
W  0.0000  0.0000  0.5000  8 Tc 2.68


Record 5
Entry from Alexandria: an optimized crystal structure of LiSiTe2 (PBEsol).

Summary:
* total magnetization: 0.00 μB per formula unit

a = 5.4178 Å, b = 5.4178 Å, c = 5.4178 Å
α = 138.22°, β = 114.21°, γ = 81.04°
Closest atoms and distances in Å follow each position.
Fractional coordinates of all 4 atoms:
Li  0.0000  0.0000  0.0000  4 Te 2.93
Si  0.5000  0.5000  0.0000  4 Te 2.72
Te  0.2669  0.7669  0.5000  2 Si 2.72, 2 Li 2.93
Te  0.7331  0.2331  0.5000  2 Si 2.72, 2 Li 2.93


Record 6
Entry from Alexandria: an optimized crystal structure of KPSN2 (PBEsol).

Summary:
* total magnetization: 0.59 μB per formula unit

a = 3.5569 Å, b = 3.5569 Å, c = 8.6069 Å
α = 90.00°, β = 90.00°, γ = 90.00°
Closest atoms and distances in Å follow each position.
Fractional coordinates of all 5 atoms:
K  0.0000  0.0000  0.0000  4 S 2.52
P  0.0000  0.0000  0.5000  4 N 1.78
S  0.5000  0.5000  0.0000  4 K 2.52
N  0.0000  0.5000  0.5000  2 P 1.78
N  0.5000  0.0000  0.5000  2 P 1.78


Record 7
Entry from Alexandria: an optimized crystal structure of CuTcRh2 (PBEsol).

Summary:
* formation enthalpy at 0 K: -0.0305 eV/atom
* total magnetization: 0.00 μB per formula unit

a = 8.6761 Å, b = 8.6761 Å, c = 8.6761 Å
α = 17.72°, β = 17.72°, γ = 17.72°
Closest atoms and distances in Å follow each position.
Fractional coordinates of all 4 atoms:
Cu  0.0000  0.0000  0.0000  6 Rh 2.63, 6 Cu 2.67
Tc  0.5000  0.5000  0.5000  6 Rh 2.64, 6 Tc 2.67
Rh  0.2501  0.2501  0.2501  3 Cu 2.63, 3 Tc 2.64, 6 Rh 2.67
Rh  0.7499  0.7499  0.7499  3 Cu 2.63, 3 Tc 2.64, 6 Rh 2.67


Record 8
Entry from Alexandria: an optimized crystal structure of BaLi2Hg (PBEsol).

Summary:
* formation enthalpy at 0 K: -0.2783 eV/atom
* total magnetization: 0.00 μB per formula unit

a = 6.4254 Å, b = 6.4254 Å, c = 6.4254 Å
α = 43.78°, β = 43.78°, γ = 43.78°
Closest atoms and distances in Å follow each position.
Fractional coordinates of all 4 atoms:
Ba  0.0000  0.0000  0.0000  1 Li 3.31, 4 Hg 3.45-3.63
Li  0.1902  0.1902  0.1902  3 Li 2.83, 3 Hg 2.93
Li  0.4888  0.4888  0.4888  3 Hg 2.79, 3 Li 2.83
Hg  0.8018  0.8018  0.8018  6 Li 2.79-2.93


Record 9
Entry from Alexandria: an optimized crystal structure of Rb3OsPt (PBEsol).

Summary:
* formation enthalpy at 0 K: 1.5378 eV/atom
* total magnetization: 3.00 μB per formula unit

a = 6.1542 Å, b = 6.1542 Å, c = 6.1542 Å
α = 90.00°, β = 90.00°, γ = 90.00°
Closest atoms and distances in Å follow each position.
Fractional coordinates of all 5 atoms:
Rb  0.0000  0.0000  0.5000  2 Pt 3.08
Rb  0.0000  0.5000  0.0000  2 Pt 3.08
Rb  0.5000  0.0000  0.0000  2 Pt 3.08
Os  0.5000  0.5000  0.5000  12 Rb 4.35
Pt  0.0000  0.0000  0.0000  6 Rb 3.08


Record 10
Entry from Alexandria: an optimized crystal structure of Cr2CoRu (PBEsol).

Summary:
* formation enthalpy at 0 K: 0.1626 eV/atom
* total magnetization: 0.00 μB per formula unit

a = 2.5806 Å, b = 3.4706 Å, c = 5.1407 Å
α = 90.00°, β = 90.00°, γ = 90.00°
Closest atoms and distances in Å follow each position.
Fractional coordinates of all 4 atoms:
Cr  0.0000  0.0000  0.0000  4 Co 2.43, 2 Ru 2.51-2.63, 6 Cr 2.55-2.58
Cr  0.5000  0.5000  0.2646  2 Co 2.47-2.68, 4 Ru 2.51, 6 Cr 2.55-2.58
Co  0.5000  0.5000  0.7850  6 Cr 2.43-2.68, 4 Ru 2.58, 2 Co 2.58
Ru  0.0000  0.0000  0.5111  6 Cr 2.51-2.63, 4 Co 2.58, 2 Ru 2.58


Record 11
Entry from Alexandria: an optimized crystal structure of Li2CePb (PBEsol).

Summary:
* formation enthalpy at 0 K: -0.2292 eV/atom
* total magnetization: 1.15 μB per formula unit

a = 4.8888 Å, b = 4.8888 Å, c = 4.8888 Å
α = 60.00°, β = 60.00°, γ = 60.00°
Closest atoms and distances in Å follow each position.
Fractional coordinates of all 4 atoms:
Li  0.2500  0.2500  0.2500  4 Pb 2.99, 4 Ce 2.99
Li  0.7500  0.7500  0.7500  4 Pb 2.99, 4 Ce 2.99
Ce  0.0000  0.0000  0.0000  8 Li 2.99
Pb  0.5000  0.5000  0.5000  8 Li 2.99


Record 12
Entry from Alexandria: an optimized crystal structure of NaRuSO2 (PBEsol).

Summary:
* total magnetization: 1.32 μB per formula unit

a = 3.6832 Å, b = 3.6832 Å, c = 6.7349 Å
α = 90.00°, β = 90.00°, γ = 90.00°
Closest atoms and distances in Å follow each position.
Fractional coordinates of all 5 atoms:
Na  0.0000  0.0000  0.0000  4 S 2.60
Ru  0.0000  0.0000  0.5000  4 O 1.84
S  0.5000  0.5000  0.0000  4 Na 2.60
O  0.0000  0.5000  0.5000  2 Ru 1.84
O  0.5000  0.0000  0.5000  2 Ru 1.84


Record 13
Entry from Alexandria: an optimized crystal structure of BeAsH3 (PBEsol).

Summary:
* total magnetization: 0.00 μB per formula unit

a = 3.3125 Å, b = 3.3125 Å, c = 3.3125 Å
α = 90.00°, β = 90.00°, γ = 90.00°
Closest atoms and distances in Å follow each position.
Fractional coordinates of all 5 atoms:
Be  0.0000  0.0000  0.0000  6 H 1.66
As  0.5000  0.5000  0.5000  12 H 2.34
H  0.0000  0.0000  0.5000  2 Be 1.66
H  0.0000  0.5000  0.0000  2 Be 1.66
H  0.5000  0.0000  0.0000  2 Be 1.66


| no. | raw total energy (eV per atom) |
| --- | --- |
| 1 | -7.98 |
| 2 | -9.01 |
| 3 | -8.49 |
| 4 | -10.76 |
| 5 | -3.70 |
| 6 | -4.62 |
| 7 | -8.00 |
| 8 | -1.94 |
| 9 | -2.91 |
| 10 | -9.44 |
| 11 | -3.86 |
| 12 | -5.65 |
| 13 | -3.15 |